Record 1
Compound: SrTiSO2
Source: the Alexandria database
Functional: PBE
Structure: relaxed

Calculated values
Total magnetic moment in μB/f.u.: 0.00
Space group: Cmcm
Uncorrected formation energy in kJ/mol of formula units: -1170
Density of states at the Fermi level in states/eV/f.u.: 0.2

a = 3.674 Å, b = 6.373 Å, c = 7.148 Å
α = 90.00°, β = 90.00°, γ = 106.75°
Element x y z (fractional)
1 Sr 0.728 0.456 0.750
2 Sr 0.272 0.544 0.250
3 Ti 0.000 0.000 0.000
4 Ti 0.000 0.000 0.500
5 S 0.459 0.917 0.750
6 S 0.541 0.083 0.250
7 O 0.147 0.294 0.955
8 O 0.853 0.706 0.045
9 O 0.147 0.294 0.545
10 O 0.853 0.706 0.455

Record 2
Compound: SrTmS2O8
Source: the Alexandria database
Functional: PBE
Structure: relaxed

Calculated values
Total magnetic moment in μB/f.u.: 0.44
Space group: P-3m1
Uncorrected formation energy in kJ/mol of formula units: -2331
Density of states at the Fermi level in states/eV/f.u.: 1.4

a = 5.151 Å, b = 5.151 Å, c = 7.821 Å
α = 90.00°, β = 90.00°, γ = 120.00°
Site moments in Bohr magnetons follow the coordinates.
Element x y z (fractional)
1 Sr 0.000 0.000 0.000  0.00
2 Tm 0.000 0.000 0.500  0.23
3 S 0.667 0.333 0.220  0.00
4 S 0.333 0.667 0.780  0.00
5 O 0.333 0.667 0.969  0.00
6 O 0.351 0.175 0.282  0.00
7 O 0.825 0.175 0.282  0.00
8 O 0.667 0.333 0.031  0.00
9 O 0.175 0.825 0.718  0.00
10 O 0.649 0.825 0.718  0.00
11 O 0.175 0.351 0.718  0.00
12 O 0.825 0.649 0.282  0.00

Record 3
Compound: SrUS2O8
Source: the Alexandria database
Functional: PBE
Structure: relaxed

Calculated values
Total magnetic moment in μB/f.u.: 0.00
Space group: P-3m1
Uncorrected formation energy in kJ/mol of formula units: -2093

a = 6.064 Å, b = 6.064 Å, c = 6.887 Å
α = 90.00°, β = 90.00°, γ = 120.00°
Element x y z (fractional)
1 Sr 0.000 0.000 0.500
2 U 0.000 0.000 0.000
3 S 0.333 0.667 0.772
4 S 0.667 0.333 0.228
5 O 0.153 0.307 0.804
6 O 0.153 0.847 0.804
7 O 0.693 0.847 0.804
8 O 0.307 0.153 0.196
9 O 0.667 0.333 0.439
10 O 0.333 0.667 0.561
11 O 0.847 0.693 0.196
12 O 0.847 0.153 0.196

Record 4
Compound: Sr2US2O2
Source: the Alexandria database
Functional: PBE
Structure: relaxed

Calculated values
Total magnetic moment in μB/f.u.: 2.00
Space group: I4/mmm
Uncorrected formation energy in kJ/mol of formula units: -1676
Density of states at the Fermi level in states/eV/f.u.: 5.7

a = 4.347 Å, b = 4.347 Å, c = 8.733 Å
α = 104.41°, β = 104.41°, γ = 90.00°
Site moments in Bohr magnetons follow the coordinates.
Element x y z (fractional)
1 Sr 0.352 0.352 0.705  0.01
2 Sr 0.648 0.648 0.295  0.01
3 U 0.000 0.000 0.000  1.93
4 S 0.170 0.170 0.341  -0.01
5 S 0.830 0.830 0.659  -0.01
6 O 0.000 0.500 0.000  -0.06
7 O 0.500 0.000 0.000  -0.06

> Which of these has the highest uncorrected formation energy?

SrTiSO2